(1)
A plane-wave DFT calculation with PBE was carried out for a relaxed structure of TlTePdAuS2.

Properties
Raw total energy, eV for the cell shown: -46.29
Crystal system: orthorhombic

```
TlTePdAuS2
1.0
2.8607 7.1461 -2.4009
-5.8166 -5.2357 1.9416
0.5049 3.2556 10.2917
Au Pd S Te Tl
2 2 4 2 2
Direct
0.8828 0.1172 0.2500
0.1172 0.8828 0.7500
0.5000 0.5000 0.0000
0.5000 0.5000 0.5000
0.8970 0.1030 0.0300
0.8970 0.1030 0.4700
0.1030 0.8970 0.5300
0.1030 0.8970 0.9700
0.5491 0.4509 0.2500
0.4509 0.5491 0.7500
0.2234 0.7766 0.2500
0.7766 0.2234 0.7500
```

(2)
A plane-wave DFT calculation with PBE was carried out for a relaxed structure of TlPdAu3S4.

Properties
Raw total energy, eV for the cell shown: -32.79
Crystal system: cubic

```
TlPdAu3S4
1.0
-2.6984 2.0655 4.9502
3.8803 -3.0741 3.3979
3.7033 4.7261 0.0467
Au Pd S Tl
3 1 4 1
Direct
0.5000 0.5000 0.0000
0.5000 0.0000 0.5000
0.0000 0.5000 0.5000
0.5000 0.5000 0.5000
0.2643 0.2643 0.2643
0.7357 0.7357 0.2643
0.7357 0.2643 0.7357
0.2643 0.7357 0.7357
0.0000 0.0000 0.0000
```

(3)
A plane-wave DFT calculation with PBE was carried out for a relaxed structure of SbPd2Au.

Properties
Raw total energy, eV for the cell shown: -18.57
Crystal system: cubic

```
SbPd2Au
1.0
-2.2181 -1.8130 3.6596
-4.5296 -0.9992 -0.2894
-1.4010 -4.4304 -0.0929
Au Pd Sb
1 2 1
Direct
0.2500 0.2500 0.2500
0.0000 0.0000 0.0000
0.7500 0.7500 0.7500
0.5000 0.5000 0.5000
```

(4)
A plane-wave DFT calculation with PBE was carried out for a relaxed structure of Sb2PdAu.

Properties
Raw total energy, eV for the cell shown: -33.66
Crystal system: tetragonal

```
Sb2PdAu
1.0
4.4142 0.0000 0.0000
0.0000 4.4142 0.0000
0.0000 0.0000 8.7397
Au Pd Sb
2 2 4
Direct
0.0000 0.0000 0.5000
0.5000 0.5000 0.5000
0.0000 0.5000 0.2141
0.5000 0.0000 0.7859
0.0000 0.0000 0.0000
0.5000 0.5000 0.0000
0.5000 0.0000 0.2939
0.0000 0.5000 0.7061
```

(5)
A plane-wave DFT calculation with PBE was carried out for a relaxed structure of Sb2PdAu.

Properties
Raw total energy, eV for the cell shown: -16.28
Crystal system: cubic

```
Sb2PdAu
1.0
0.0000 3.5085 3.5085
3.5085 0.0000 3.5085
3.5085 3.5085 0.0000
Au Pd Sb
1 1 2
Direct
0.2500 0.2500 0.2500
0.5000 0.5000 0.5000
0.0000 0.0000 0.0000
0.7500 0.7500 0.7500
```

(6)
A plane-wave DFT calculation with PBE was carried out for a relaxed structure of Sc2PdAu2.

Properties
M_tot, μB/f.u.: 0.007
Calculated formation energy, eV/atom: -0.292
Crystal system: tetragonal

```
Sc2PdAu2
1.0
0.9176 4.2730 1.3741
-1.7958 -0.9358 4.1095
5.1754 -3.2364 -1.0290
Au Pd Sc
2 1 2
Direct
0.6206 0.6206 0.2412
0.3794 0.3794 0.7588
0.0000 0.0000 0.0000
0.7500 0.2500 0.5000
0.2500 0.7500 0.5000
```

(7)
A plane-wave DFT calculation with PBE was carried out for a relaxed structure of Sc2PdAu.

Properties
M_tot, μB/f.u.: 0.018
Calculated formation energy, eV/atom: -0.625
Crystal system: cubic

```
Sc2PdAu
1.0
0.0000 3.2954 3.2954
3.2954 0.0000 3.2954
3.2954 3.2954 0.0000
Au Pd Sc
1 1 2
Direct
0.2500 0.2500 0.2500
0.5000 0.5000 0.5000
0.0000 0.0000 0.0000
0.7500 0.7500 0.7500
```

(8)
A plane-wave DFT calculation with PBE was carried out for a relaxed structure of Sc2PdAu2.

Properties
M_tot, μB/f.u.: 0.003
Calculated formation energy, eV/atom: -0.368
Crystal system: tetragonal

```
Sc2PdAu2
1.0
-1.9076 1.9076 6.8654
1.9076 -1.9076 6.8654
1.9076 1.9076 -6.8654
Au Pd Sc
2 1 2
Direct
0.7500 0.2500 0.5000
0.2500 0.7500 0.5000
0.0000 0.0000 0.0000
0.4007 0.4007 0.0000
0.5993 0.5993 0.0000
```

(9)
A plane-wave DFT calculation with PBE was carried out for a relaxed structure of Sc2Pd5Au.

Properties
M_tot, μB/f.u.: 0.002
Calculated formation energy, eV/atom: -0.876
Crystal system: orthorhombic

```
Sc2Pd5Au
1.0
-4.1342 3.4471 1.7353
-7.1787 -8.7332 0.2458
1.0176 -0.7276 3.8697
Au Pd Sc
2 10 4
Direct
0.5000 0.0000 0.0000
0.0000 0.5000 0.0000
0.0000 0.0000 0.0000
0.9880 0.2497 0.0000
0.4880 0.2503 0.0000
0.5000 0.5000 0.0000
0.5120 0.7497 0.0000
0.0120 0.7503 0.0000
0.7429 0.1241 0.5000
0.2429 0.3759 0.5000
0.7571 0.6241 0.5000
0.2571 0.8759 0.5000
0.2348 0.1299 0.5000
0.7348 0.3701 0.5000
0.2652 0.6299 0.5000
0.7652 0.8701 0.5000
```

(10)
A plane-wave DFT calculation with PBE was carried out for a relaxed structure of ScPdAu.

Properties
M_tot, μB/f.u.: 0.005
Calculated formation energy, eV/atom: -0.574
Crystal system: cubic

```
ScPdAu
1.0
0.0000 3.1531 3.1531
3.1531 0.0000 3.1531
3.1531 3.1531 0.0000
Au Pd Sc
1 1 1
Direct
0.2500 0.2500 0.2500
0.0000 0.0000 0.0000
0.7500 0.7500 0.7500
```

(11)
A plane-wave DFT calculation with PBE was carried out for a relaxed structure of ScPd2Au2.

Properties
M_tot, μB/f.u.: 0.003
Calculated formation energy, eV/atom: -0.327
Crystal system: tetragonal

```
ScPd2Au2
1.0
5.8179 -2.8291 -2.3837
5.9207 -1.9074 2.9733
-6.8919 -0.1105 0.1513
Au Pd Sc
2 2 1
Direct
0.3985 0.3985 0.0000
0.6015 0.6015 0.0000
0.7500 0.2500 0.5000
0.2500 0.7500 0.5000
0.0000 0.0000 0.0000
```

(12)
A plane-wave DFT calculation with PBE was carried out for a relaxed structure of ScPdAu.

Properties
M_tot, μB/f.u.: 0.001
Calculated formation energy, eV/atom: -0.472
Crystal system: cubic

```
ScPdAu
1.0
-3.7999 -2.3106 0.3040
-1.6732 -1.0215 4.0035
-3.7152 1.9993 1.4391
Au Pd Sc
1 1 1
Direct
0.2500 0.2500 0.2500
0.7500 0.7500 0.7500
0.0000 0.0000 0.0000
```

(13)
A plane-wave DFT calculation with PBE was carried out for a relaxed structure of Pd3AuSe5.

Properties
Raw total energy, eV for the cell shown: -35.01
Crystal system: hexagonal

```
Pd3AuSe5
1.0
5.7613 0.0000 0.0000
-2.8807 4.9894 0.0000
0.0000 0.0000 6.7715
Au Pd Se
1 3 5
Direct
0.0000 0.0000 0.0000
0.5000 0.0000 0.5000
0.0000 0.5000 0.5000
0.5000 0.5000 0.5000
0.6667 0.3333 0.2226
0.3333 0.6667 0.2226
0.0000 0.0000 0.5000
0.6667 0.3333 0.7774
0.3333 0.6667 0.7774
```

(14)
A plane-wave DFT calculation with PBE was carried out for a relaxed structure of Si5Pd3Au.

Properties
Raw total energy, eV for the cell shown: -45.44
Crystal system: hexagonal

```
Si5Pd3Au
1.0
5.3969 0.0000 0.0000
-2.6985 4.6739 0.0000
0.0000 0.0000 6.0906
Au Pd Si
1 3 5
Direct
0.0000 0.0000 0.0000
0.5000 0.0000 0.5000
0.0000 0.5000 0.5000
0.5000 0.5000 0.5000
0.6667 0.3333 0.1866
0.3333 0.6667 0.1866
0.0000 0.0000 0.5000
0.6667 0.3333 0.8134
0.3333 0.6667 0.8134
```

(15)
A plane-wave DFT calculation with PBE was carried out for a relaxed structure of Si2PdAu.

Properties
Raw total energy, eV for the cell shown: -18.36
Crystal system: cubic

```
Si2PdAu
1.0
-3.7921 -2.2456 0.8457
-3.9187 2.1827 0.1301
-3.0195 -0.6136 -3.2625
Au Pd Si
1 1 2
Direct
0.2500 0.2500 0.2500
0.5000 0.5000 0.5000
0.0000 0.0000 0.0000
0.7500 0.7500 0.7500
```

(16)
A plane-wave DFT calculation with PBE was carried out for a relaxed structure of SmSi2PdAu.

Properties
M_tot, μB/f.u.: 0.005
Raw total energy, eV for the cell shown: -27.95
Crystal system: tetragonal

```
SmSi2PdAu
1.0
-2.1073 2.1073 5.1127
2.1073 -2.1073 5.1127
2.1073 2.1073 -5.1127
Au Pd Si Sm
1 1 2 1
Direct
0.7500 0.2500 0.5000
0.2500 0.7500 0.5000
0.3859 0.3859 0.0000
0.6141 0.6141 0.0000
0.0000 0.0000 0.0000
```

(17)
A plane-wave DFT calculation with PBE was carried out for a relaxed structure of YSi2PdAu.

Properties
M_tot, μB/f.u.: 0.001
Raw total energy, eV for the cell shown: -29.61
Crystal system: tetragonal

```
YSi2PdAu
1.0
-2.0870 2.0870 5.1086
2.0870 -2.0870 5.1086
2.0870 2.0870 -5.1086
Au Pd Si Y
1 1 2 1
Direct
0.0000 0.0000 0.0000
0.5000 0.5000 0.0000
0.1377 0.6377 0.5000
0.3623 0.8623 0.5000
0.7500 0.2500 0.5000
```

(18)
A plane-wave DFT calculation with PBE was carried out for a relaxed structure of SmPd2Au.

Properties
M_tot, μB/f.u.: 0.001
Calculated formation energy, eV/atom: -0.789
Crystal system: tetragonal

```
SmPd2Au
1.0
-1.8920 1.1675 3.6645
-3.6080 -1.9532 -1.2405
1.2721 -3.4689 1.7620
Au Pd Sm
1 2 1
Direct
0.0000 0.0000 0.5000
0.5000 0.0000 0.0000
0.0000 0.5000 0.0000
0.5000 0.5000 0.5000
```

(19)
A plane-wave DFT calculation with PBE was carried out for a relaxed structure of SmPdAu.

Properties
M_tot, μB/f.u.: 0.005
Calculated formation energy, eV/atom: -0.698
Crystal system: cubic

```
SmPdAu
1.0
0.0000 3.3067 3.3067
3.3067 0.0000 3.3067
3.3067 3.3067 0.0000
Au Pd Sm
1 1 1
Direct
0.2500 0.2500 0.2500
0.0000 0.0000 0.0000
0.7500 0.7500 0.7500
```

(20)
A plane-wave DFT calculation with PBE was carried out for a relaxed structure of Sm4PdAu3.

Properties
M_tot, μB/f.u.: 0.015
Calculated formation energy, eV/atom: -0.848
Crystal system: orthorhombic

```
Sm4PdAu3
1.0
-2.9873 2.4489 0.0207
-2.7580 -3.3485 -1.8958
-2.7579 -3.4496 10.1049
Au Pd Sm
3 1 4
Direct
0.5000 0.5000 0.4123
0.5000 0.0000 0.5875
0.0000 0.5000 0.9160
0.0000 0.0000 0.0856
0.5000 0.5000 0.1361
0.0000 0.0000 0.3561
0.0000 0.5000 0.6389
0.5000 0.0000 0.8674
```

(21)
A plane-wave DFT calculation with PBE was carried out for a relaxed structure of Sm2PdAu2.

Properties
M_tot, μB/f.u.: 0.001
Calculated formation energy, eV/atom: -0.841
Crystal system: monoclinic

```
Sm2PdAu2
1.0
-3.7774 3.3702 -2.5729
-1.3407 1.6985 -5.2502
-4.9852 -10.3901 1.9506
Au Pd Sm
4 2 4
Direct
0.9561 0.9561 0.1096
0.8507 0.8507 0.4550
0.1493 0.1493 0.5450
0.0439 0.0439 0.8904
0.1994 0.1994 0.3054
0.8006 0.8006 0.6946
0.6806 0.6806 0.1124
0.5033 0.5033 0.3390
0.4967 0.4967 0.6610
0.3194 0.3194 0.8876
```

(22)
A plane-wave DFT calculation with PBE was carried out for a relaxed structure of SmPdAu.

Properties
M_tot, μB/f.u.: 0.000
Calculated formation energy, eV/atom: -0.403
Crystal system: cubic

```
SmPdAu
1.0
1.8354 -3.9529 1.9731
-2.7026 -2.7234 2.8577
-1.4563 -4.3100 -1.4802
Au Pd Sm
1 1 1
Direct
0.2500 0.2500 0.2500
0.7500 0.7500 0.7500
0.0000 0.0000 0.0000
```

(23)
A plane-wave DFT calculation with PBE was carried out for a relaxed structure of SmPd2Au4.

Properties
M_tot, μB/f.u.: 0.004
Calculated formation energy, eV/atom: -0.489
Crystal system: monoclinic

```
SmPd2Au4
1.0
-3.3284 4.2295 1.7333
-0.1239 -0.6863 5.6111
4.7280 1.2294 -2.3486
Au Pd Sm
4 2 1
Direct
0.9999 0.6028 0.3014
0.6028 0.9999 0.3014
0.3972 0.0001 0.6986
0.0001 0.3972 0.6986
0.4994 0.4994 0.2495
0.5006 0.5006 0.7505
0.0000 0.0000 0.0000
```

(24)
A plane-wave DFT calculation with PBE was carried out for a relaxed structure of Sn3Pd10Au11.

Properties
Raw total energy, eV for the cell shown: -105.66
Crystal system: tetragonal

```
Sn3Pd10Au11
1.0
-0.5793 3.9485 0.8000
-4.0075 -0.4818 -0.5241
-2.5027 -5.2165 23.9338
Au Pd Sn
11 10 3
Direct
0.0000 0.0000 0.0092
0.5000 0.0000 0.5777
0.0000 0.5000 0.5777
0.5000 0.5000 0.6638
0.0000 0.0000 0.6667
0.5000 0.0000 0.7521
0.0000 0.5000 0.7521
0.5000 0.5000 0.8383
0.0000 0.0000 0.8399
0.5000 0.0000 0.9255
0.0000 0.5000 0.9255
0.5000 0.5000 0.0082
0.5000 0.0000 0.0888
0.0000 0.5000 0.0888
0.5000 0.5000 0.1688
0.5000 0.0000 0.2482
0.0000 0.5000 0.2482
0.5000 0.5000 0.3296
0.5000 0.0000 0.4095
0.0000 0.5000 0.4095
0.5000 0.5000 0.4927
0.0000 0.0000 0.1657
0.0000 0.0000 0.3270
0.0000 0.0000 0.4866
```